# MgAs2Au

A relaxed structure of MgAs2Au (PBE, Alexandria).

Values from the calculation:
- formation enthalpy at 0 K (eV/atom) = -0.125
- calculated density (g cm⁻³) = 7.775
- calculated volume (A^3/atom) = 19.82
- DOS(E_F) (states/eV/atom) = 0.253
- SG = Pm, No. 6
- total moment (μB/atom) = 0.0000
- raw total energy (eV per atom) = -3.67

a b c (Å): 4.0683 2.9426 6.6212
angles (deg): 89.81 90.00 90.00
Positions (direct):
As: 0.0000 0.2494 0.9564
As: 0.5000 0.2485 0.2701
Au: 0.0000 0.2513 0.5325
Mg: 0.5000 0.7508 0.7409